This record from Alexandria describes a relaxed LiFeRh crystal. The functional is PBE-GGA.

The total magnetization is 12.65 μB per cell. Its distance to the lowest polymorph of the same formula is 44 meV/atom. Its formation energy is -0.02 eV per formula unit.

It has space group C2/m (No. 12), with a = 8.846 Å, b = 2.711 Å, c = 7.316 Å, α = 90.00°, β = 117.77° and γ = 90.00°. The inequivalent atoms are Li at (0.167, 0.000, 0.335), Fe at (0.166, 0.000, 0.841), Rh at (0.000, 0.500, 0.000) and Rh at (0.000, 0.500, 0.500).

=====

This record from Alexandria describes a relaxed LiFeRh crystal. The functional is PBE-GGA.

The total magnetization is 7.07 μB per cell. Its distance to the lowest polymorph of the same formula is 13 meV/atom. Its formation energy is -0.11 eV per formula unit.

It has space group P3m1 (No. 156), with a = 4.2001 Å, b = 4.2001 Å, c = 5.1542 Å, α = 90.00°, β = 90.00° and γ = 120.00°. The inequivalent atoms are Li at (0.0000, 0.0000, 0.0000), Li at (0.3333, 0.6667, 0.1596), Fe at (0.3333, 0.6667, 0.6679), Fe at (0.6667, 0.3333, 0.3293), Rh at (0.0000, 0.0000, 0.4942) and Rh at (0.6667, 0.3333, 0.8303).

=====

This record from Alexandria describes a relaxed LiFeRh crystal. The functional is PBE-GGA.

The total magnetization is 6.16 μB per cell. Its distance to the lowest polymorph of the same formula is 192 meV/atom. Its formation energy is 0.43 eV per formula unit.

It has space group Cm (No. 8), with a = 8.255 Å, b = 2.615 Å, c = 7.366 Å, α = 90.00°, β = 95.85° and γ = 90.00°. The inequivalent atoms are Li at (0.000, 0.000, 0.000), Li at (0.244, 0.000, 0.849), Fe at (0.026, 0.000, 0.353), Fe at (0.255, 0.500, 0.520), Rh at (0.248, 0.500, 0.191) and Rh at (0.497, 0.000, 0.656).

=====

This record from Alexandria describes a relaxed LiFeRh crystal. The functional is PBE-GGA.

The total magnetization is 0.00 μB per cell. Its distance to the lowest polymorph of the same formula is 245 meV/atom. Its formation energy is 0.59 eV per formula unit.

It has space group P-6m2 (No. 187), with a = 4.1096 Å, b = 4.1096 Å, c = 5.3392 Å, α = 90.00°, β = 90.00° and γ = 120.00°. The inequivalent atoms are Li at (0.0000, 0.0000, 0.0000), Li at (0.0000, 0.0000, 0.5000), Fe at (0.6667, 0.3333, 0.1910) and Rh at (0.3333, 0.6667, 0.2449).

=====

This record from Alexandria describes a relaxed LiFeRh crystal. The functional is PBE-GGA.

The total magnetization is 7.37 μB per cell. Its distance to the lowest polymorph of the same formula is 76 meV/atom. Its formation energy is 0.08 eV per formula unit.

It has space group I4mm (No. 107), with a = 3.088 Å, b = 3.088 Å, c = 8.174 Å, α = 90.00°, β = 90.00° and γ = 90.00°. The inequivalent atoms are Li at (0.000, 0.000, 0.000), Fe at (0.000, 0.000, 0.328) and Rh at (0.000, 0.000, 0.667).

=====

This record from Alexandria describes a relaxed LiFeTcRh crystal. The functional is PBE-GGA.

The total magnetization is 7.51 μB per cell. Its formation energy is 0.60 eV per formula unit.

It has space group F-43m (No. 216), with a = 5.939 Å, b = 5.939 Å, c = 5.939 Å, α = 90.00°, β = 90.00° and γ = 90.00°. The inequivalent atoms are Li at (0.000, 0.000, 0.000), Fe at (0.250, 0.250, 0.250), Tc at (0.000, 0.000, 0.500) and Rh at (0.250, 0.250, 0.750).

=====

This record from Alexandria describes a relaxed LiVFeRh crystal. The functional is PBE-GGA.

The total magnetization is 1.24 μB per cell. Its formation energy is -0.43 eV per formula unit.

It has space group F-43m (No. 216), with a = 5.784 Å, b = 5.784 Å, c = 5.784 Å, α = 90.00°, β = 90.00° and γ = 90.00°. The inequivalent atoms are Li at (0.000, 0.000, 0.000), V at (0.000, 0.000, 0.500), Fe at (0.250, 0.250, 0.250) and Rh at (0.250, 0.250, 0.750).

=====

This record from Alexandria describes a relaxed LiFeRhW crystal. The functional is PBE-GGA.

The total magnetization is 0.00 μB per cell. Its formation energy is -0.03 eV per formula unit.

It has space group F-43m (No. 216), with a = 5.922 Å, b = 5.922 Å, c = 5.922 Å, α = 90.00°, β = 90.00° and γ = 90.00°. The inequivalent atoms are Li at (0.000, 0.000, 0.000), Fe at (0.250, 0.250, 0.750), Rh at (0.250, 0.250, 0.250) and W at (0.000, 0.000, 0.500).

=====

This record from Alexandria describes a relaxed LiFeRu2 crystal. The functional is PBE-GGA.

The total magnetization is 1.96 μB per cell. Its distance to the lowest polymorph of the same formula is 84 meV/atom. Its formation energy is 1.00 eV per formula unit.

It has space group P4/mmm (No. 123), with a = 2.948 Å, b = 2.948 Å, c = 5.723 Å, α = 90.00°, β = 90.00° and γ = 90.00°. The inequivalent atoms are Li at (0.000, 0.000, 0.000), Fe at (0.000, 0.000, 0.500) and Ru at (0.500, 0.500, 0.246).

=====

This record from Alexandria describes a relaxed LiFeRu2 crystal. The functional is PBE-GGA.

The total magnetization is 5.40 μB per cell. Its distance to the lowest polymorph of the same formula is 0 meV/atom. Its formation energy is 0.66 eV per formula unit.

It has space group R-3m (No. 166, hexagonal axes), with a = 2.6558 Å, b = 2.6558 Å, c = 26.2314 Å, α = 90.00°, β = 90.00° and γ = 120.00°. The inequivalent atoms are Li at (0.0000, 0.0000, 0.0000), Fe at (0.0000, 0.0000, 0.5000) and Ru at (0.0000, 0.0000, 0.2451).

=====

This record from Alexandria describes a relaxed LiFeRu2 crystal. The functional is PBE-GGA.

The total magnetization is 5.08 μB per cell. Its distance to the lowest polymorph of the same formula is 71 meV/atom. Its formation energy is 0.94 eV per formula unit.

It has space group I-4m2 (No. 119), with a = 3.709 Å, b = 3.709 Å, c = 7.447 Å, α = 90.00°, β = 90.00° and γ = 90.00°. The inequivalent atoms are Li at (0.000, 0.000, 0.000), Fe at (0.000, 0.500, 0.250), Ru at (0.000, 0.000, 0.500) and Ru at (0.000, 0.500, 0.750).

=====

This record from Alexandria describes a relaxed LiFeRu2 crystal. The functional is PBE-GGA.

The total magnetization is 6.86 μB per cell. Its distance to the lowest polymorph of the same formula is 59 meV/atom. Its formation energy is 0.90 eV per formula unit.

It has space group R3m (No. 160, hexagonal axes), with a = 2.6776 Å, b = 2.6776 Å, c = 26.5469 Å, α = 90.00°, β = 90.00° and γ = 120.00°. The inequivalent atoms are Li at (0.0000, 0.0000, 0.0000), Fe at (0.0000, 0.0000, 0.7524), Ru at (0.0000, 0.0000, 0.2461) and Ru at (0.0000, 0.0000, 0.4991).

=====

This record from Alexandria describes a relaxed LiFeRu2 crystal. The functional is PBE-GGA.

The total magnetization is 4.82 μB per cell. Its distance to the lowest polymorph of the same formula is 175 meV/atom. Its formation energy is 1.36 eV per formula unit.

It has space group Cmm2 (No. 35), with a = 2.769 Å, b = 4.447 Å, c = 8.974 Å, α = 90.00°, β = 90.00° and γ = 90.00°. The inequivalent atoms are Li at (0.000, 0.000, 0.000), Fe at (0.000, 0.500, 0.746), Ru at (0.000, 0.000, 0.508) and Ru at (0.000, 0.500, 0.255).

=====

This record from Alexandria describes a relaxed LiFeRu2 crystal. The functional is PBE-GGA.

The total magnetization is 4.29 μB per cell. Its distance to the lowest polymorph of the same formula is 52 meV/atom. Its formation energy is 0.87 eV per formula unit.

It has space group C2/m (No. 12), with a = 8.614 Å, b = 2.648 Å, c = 4.662 Å, α = 90.00°, β = 100.25° and γ = 90.00°. The inequivalent atoms are Li at (0.000, 0.000, 0.000), Fe at (0.000, 0.500, 0.500) and Ru at (0.237, 0.000, 0.745).

=====

This record from Alexandria describes a relaxed LiFeRu2 crystal. The functional is PBE-GGA.

The total magnetization is 2.81 μB per cell. Its distance to the lowest polymorph of the same formula is 106 meV/atom. Its formation energy is 1.08 eV per formula unit.

It has space group P4mm (No. 99), with a = 2.677 Å, b = 2.677 Å, c = 7.645 Å, α = 90.00°, β = 90.00° and γ = 90.00°. The inequivalent atoms are Li at (0.000, 0.000, 0.000), Fe at (0.500, 0.500, 0.741), Ru at (0.000, 0.000, 0.497) and Ru at (0.500, 0.500, 0.260).

=====

Number 1: total DFT energy (no corrections) -0.4347 Ry per atom. Number 2: total DFT energy (no corrections) -0.4370 Ry per atom. Number 3: total DFT energy (no corrections) -0.4238 Ry per atom. Number 4: total DFT energy (no corrections) -0.4200 Ry per atom. Number 5: total DFT energy (no corrections) -0.4324 Ry per atom. Number 6: total DFT energy (no corrections) -0.5051 Ry per atom. Number 7: total DFT energy (no corrections) -0.5011 Ry per atom. Number 8: total DFT energy (no corrections) -0.5643 Ry per atom. Number 9: total DFT energy (no corrections) -0.5133 Ry per atom. Number 10: total DFT energy (no corrections) -0.5195 Ry per atom. Number 11: total DFT energy (no corrections) -0.5143 Ry per atom. Number 12: total DFT energy (no corrections) -0.5151 Ry per atom. Number 13: total DFT energy (no corrections) -0.5066 Ry per atom. Number 14: total DFT energy (no corrections) -0.5156 Ry per atom. Number 15: total DFT energy (no corrections) -0.5116 Ry per atom.